Record 1
This record from Alexandria describes a geometry-optimized TiTeAuN2 structure. The functional is PBE-GGA.

a = 3.908 Å, b = 3.908 Å, c = 6.084 Å
α = 90.00°, β = 90.00°, γ = 90.00°
Space group P4/mmm (No. 123)
Asymmetric unit:
1 Ti 0.000 0.000 0.000 (multiplicity 1)
2 Te 0.000 0.000 0.500 (multiplicity 1)
3 Au 0.500 0.500 0.500 (multiplicity 1)
4 N 0.000 0.500 0.000 (multiplicity 2)

Results
- ρ: 7.16 g/cm3
- Energy above the most stable polymorph in this dataset: 0 meV per atom
- N(E_F): 0.6736 states/eV per atom
- ΔE_f (raw): 37.61 kJ per mole of atoms
- Final energy: -5.8032 eV/atom

=====

Record 2
This record from Alexandria describes a geometry-optimized SbPb2Cl structure. The functional is PBE-GGA.

a = 7.094 Å, b = 7.094 Å, c = 13.915 Å
α = 90.00°, β = 90.00°, γ = 90.00°
Space group I-42d (No. 122)
Asymmetric unit:
1 Sb 0.000 0.000 0.000 (multiplicity 4)
2 Pb 0.243 0.250 0.625 (multiplicity 8)
3 Cl 0.000 0.000 0.500 (multiplicity 4)

Results
- ρ: 5.42 g/cm3
- Energy above the most stable polymorph in this dataset: 217 meV per atom
- N(E_F): 0.0009 states/eV per atom
- ΔE_f (raw): -19.99 kJ per mole of atoms
- Final energy: -3.5536 eV/atom

=====

Record 3
This record from Alexandria describes a geometry-optimized MnSbAu structure. The functional is PBE-GGA.

a = 4.2038 Å, b = 4.2038 Å, c = 4.0767 Å
α = 90.00°, β = 90.00°, γ = 120.00°
Space group P3m1 (No. 156)
Asymmetric unit:
1 Mn 0.0000 0.0000 0.0000 (multiplicity 1)
2 Sb 0.6667 0.3333 0.3398 (multiplicity 1)
3 Au 0.3333 0.6667 0.7166 (multiplicity 1)

Results
- ρ: 9.95 g/cm3
- Energy above the most stable polymorph in this dataset: 113 meV per atom
- N(E_F): 0.4548 states/eV per atom
- ΔE_f (raw): 11.90 kJ per mole of atoms
- Final energy: -5.3998 eV/atom

=====

Record 4
This record from Alexandria describes a geometry-optimized KInTe structure. The functional is PBE-GGA.

a = 7.808 Å, b = 7.808 Å, c = 7.808 Å
α = 90.00°, β = 90.00°, γ = 90.00°
Space group F-43m (No. 216)
Asymmetric unit:
1 K 0.000 0.000 0.000 (multiplicity 4)
2 In 0.250 0.250 0.750 (multiplicity 4)
3 Te 0.250 0.250 0.250 (multiplicity 4)

Results
- ρ: 3.93 g/cm3
- Energy above the most stable polymorph in this dataset: 363 meV per atom
- ΔE_f (raw): -30.36 kJ per mole of atoms
- Final energy: -2.6406 eV/atom

=====

Record 5
This record from Alexandria describes a geometry-optimized ZrTa2Co9 structure. The functional is PBE-GGA.

a = 4.7473 Å, b = 4.7473 Å, c = 23.3098 Å
α = 90.00°, β = 90.00°, γ = 120.00°
Space group R-3m (No. 166, hexagonal axes)
Asymmetric unit:
1 Zr 0.0000 0.0000 0.0000 (multiplicity 3)
2 Ta 0.0000 0.0000 0.1394 (multiplicity 6)
3 Co 0.0000 0.0000 0.3348 (multiplicity 6)
4 Co 0.0000 0.0000 0.5000 (multiplicity 3)
5 Co 0.0051 0.5025 0.9147 (multiplicity 18)

Results
- ρ: 10.77 g/cm3
- N(E_F): 1.6782 states/eV per atom
- Final energy: -8.2134 eV/atom
- E_form: -0.196 eV/atom

=====

Record 6
This record from Alexandria describes a geometry-optimized In2Hg4H3 structure. The functional is PBE-GGA.

a = 5.389 Å, b = 5.661 Å, c = 7.205 Å
α = 99.17°, β = 90.77°, γ = 118.25°
Space group P-1 (No. 2)
Asymmetric unit:
1 In 0.012 0.028 0.276 (multiplicity 2)
2 Hg 0.313 0.621 0.882 (multiplicity 2)
3 Hg 0.396 0.792 0.318 (multiplicity 2)
4 H 0.000 0.000 0.000 (multiplicity 1)
5 H 0.208 0.418 0.359 (multiplicity 2)

Results
- ρ: 9.04 g/cm3
- N(E_F): 0.1336 states/eV per atom
- Final energy: -1.6615 eV/atom

=====

Record 7
This record from Alexandria describes a geometry-optimized Cs3Sr3TcO8 structure. The functional is PBE-GGA.

a = 7.3244 Å, b = 7.3244 Å, c = 20.6090 Å
α = 90.00°, β = 90.00°, γ = 120.00°
Space group R-3m (No. 166, hexagonal axes)
Asymmetric unit:
1 Cs 0.0000 0.5000 0.0000 (multiplicity 9)
2 Sr 0.0000 0.5000 0.5000 (multiplicity 9)
3 Tc 0.0000 0.0000 0.5000 (multiplicity 3)
4 O 0.0000 0.0000 0.2247 (multiplicity 6)
5 O 0.0807 0.5403 0.2193 (multiplicity 18)

Results
- ρ: 4.62 g/cm3
- ΔE_f (raw): -185.47 kJ per mole of atoms
- Final energy: -5.7648 eV/atom

=====

Record 8
This record from Alexandria describes a geometry-optimized AlTc2P2 structure. The functional is PBE-GGA.

a = 6.904 Å, b = 6.904 Å, c = 2.915 Å
α = 90.00°, β = 90.00°, γ = 90.00°
Space group P4/mbm (No. 127)
Asymmetric unit:
1 Al 0.000 0.000 0.000 (multiplicity 2)
2 Tc 0.155 0.345 0.500 (multiplicity 4)
3 P 0.140 0.640 0.000 (multiplicity 4)

Results
- ρ: 6.81 g/cm3
- Energy above the most stable polymorph in this dataset: 97 meV per atom
- N(E_F): 0.5744 states/eV per atom
- Final energy: -7.2284 eV/atom
- E_form: -0.170 eV/atom

=====

Record 9
This record from Alexandria describes a geometry-optimized FeSbTe2 structure. The functional is PBE-GGA.

a = 3.252 Å, b = 5.056 Å, c = 12.714 Å
α = 90.00°, β = 90.00°, γ = 90.00°
Space group Imm2 (No. 44)
Asymmetric unit:
1 Fe 0.000 0.000 0.000 (multiplicity 2)
2 Sb 0.000 0.500 0.675 (multiplicity 2)
3 Te 0.000 0.000 0.533 (multiplicity 2)
4 Te 0.000 0.500 0.340 (multiplicity 2)

Results
- ρ: 6.88 g/cm3
- N(E_F): 0.8691 states/eV per atom
- ΔE_f (raw): 21.12 kJ per mole of atoms
- Final energy: -4.4982 eV/atom

=====

Record 10
This record from Alexandria describes a geometry-optimized La3NdAs3 structure. The functional is PBE-GGA.

a = 9.176 Å, b = 9.176 Å, c = 9.176 Å
α = 90.00°, β = 90.00°, γ = 90.00°
Space group P2_13 (No. 198)
Asymmetric unit:
1 La 0.067 0.433 0.567 (multiplicity 4)
2 La 0.182 0.818 0.318 (multiplicity 4)
3 La 0.183 0.183 0.183 (multiplicity 4)
4 Nd 0.066 0.566 0.934 (multiplicity 4)
5 As 0.000 0.252 0.873 (multiplicity 12)

Results
- ρ: 6.75 g/cm3
- N(E_F): 1.1719 states/eV per atom
- Final energy: -6.1051 eV/atom
- E_form: -1.320 eV/atom

=====

Record 11
This record from Alexandria describes a geometry-optimized La5As4 structure. The functional is PBE-GGA.

a = 9.968 Å, b = 9.968 Å, c = 5.319 Å
α = 90.00°, β = 90.00°, γ = 90.00°
Space group I4/mmm (No. 139)
Asymmetric unit:
1 La 0.000 0.000 0.000 (multiplicity 2)
2 La 0.185 0.185 0.500 (multiplicity 8)
3 As 0.000 0.296 0.000 (multiplicity 8)

Results
- ρ: 6.25 g/cm3
- Energy above the most stable polymorph in this dataset: 514 meV per atom
- N(E_F): 0.6964 states/eV per atom
- Final energy: -5.5467 eV/atom
- E_form: -0.743 eV/atom

=====

Record 12
This record from Alexandria describes a geometry-optimized LiGaNi structure. The functional is PBE-GGA.

a = 7.773 Å, b = 3.743 Å, c = 5.404 Å
α = 90.00°, β = 101.19°, γ = 90.00°
Space group C2/m (No. 12)
Asymmetric unit:
1 Li 0.177 0.000 0.090 (multiplicity 4)
2 Ga 0.017 0.500 0.268 (multiplicity 4)
3 Ni 0.159 0.000 0.583 (multiplicity 4)

Results
- ρ: 5.83 g/cm3
- N(E_F): 0.4932 states/eV per atom
- Final energy: -3.8643 eV/atom
- E_form: -0.290 eV/atom

=====

Record 13
This record from Alexandria describes a geometry-optimized Pr3Ho5Tm4 structure. The functional is PBE-GGA.

a = 17.683 Å, b = 5.705 Å, c = 8.715 Å
α = 90.00°, β = 116.59°, γ = 90.00°
Space group C2/m (No. 12)
Asymmetric unit:
1 Pr 0.000 0.000 0.000 (multiplicity 2)
2 Pr 0.185 0.500 0.228 (multiplicity 4)
3 Ho 0.000 0.500 0.000 (multiplicity 2)
4 Ho 0.094 0.000 0.440 (multiplicity 4)
5 Ho 0.162 0.000 0.893 (multiplicity 4)
6 Tm 0.038 0.500 0.697 (multiplicity 4)
7 Tm 0.209 0.500 0.645 (multiplicity 4)

Results
- ρ: 8.12 g/cm3
- Energy above the most stable polymorph in this dataset: 258 meV per atom
- N(E_F): 1.3583 states/eV per atom
- Final energy: -4.3118 eV/atom
- E_form: 0.281 eV/atom

=====

Record 14
This record from Alexandria describes a geometry-optimized AgRu2Au structure. The functional is PBE-GGA.

a = 2.812 Å, b = 4.679 Å, c = 9.877 Å
α = 90.00°, β = 90.00°, γ = 90.00°
Space group Immm (No. 71)
Asymmetric unit:
1 Ag 0.000 0.000 0.000 (multiplicity 2)
2 Ru 0.000 0.500 0.239 (multiplicity 4)
3 Au 0.000 0.000 0.500 (multiplicity 2)

Results
- ρ: 12.95 g/cm3
- Energy above the most stable polymorph in this dataset: 365 meV per atom
- N(E_F): 1.1554 states/eV per atom
- Final energy: -5.5913 eV/atom
- E_form: 0.579 eV/atom

=====

Record 15
This record from Alexandria describes a geometry-optimized CaInSe2 structure. The functional is PBE-GGA.

a = 4.3722 Å, b = 4.3722 Å, c = 22.6536 Å
α = 90.00°, β = 90.00°, γ = 120.00°
Space group R3m (No. 160, hexagonal axes)
Asymmetric unit:
1 Ca 0.0000 0.0000 0.0000 (multiplicity 3)
2 In 0.0000 0.0000 0.2185 (multiplicity 3)
3 Se 0.0000 0.0000 0.5009 (multiplicity 3)
4 Se 0.0000 0.0000 0.7145 (multiplicity 3)

Results
- ρ: 4.16 g/cm3
- N(E_F): 0.7261 states/eV per atom
- ΔE_f (raw): -70.38 kJ per mole of atoms
- Final energy: -3.6567 eV/atom

=====

Record 16
This record from Alexandria describes a geometry-optimized La2Co3 structure. The functional is PBE-GGA.

a = 4.761 Å, b = 10.276 Å, c = 7.827 Å
α = 90.00°, β = 90.00°, γ = 90.00°
Space group Cmce (No. 64)
Asymmetric unit:
1 La 0.000 0.151 0.090 (multiplicity 8)
2 Co 0.000 0.000 0.500 (multiplicity 4)
3 Co 0.250 0.088 0.750 (multiplicity 8)

Results
- ρ: 7.89 g/cm3
- N(E_F): 0.8997 states/eV per atom
- Final energy: -6.3263 eV/atom
- E_form: -0.092 eV/atom

=====

Record 17
This record from Alexandria describes a geometry-optimized CsHfP2O structure. The functional is PBE-GGA.

a = 5.217 Å, b = 5.217 Å, c = 4.244 Å
α = 90.00°, β = 90.00°, γ = 90.00°
Space group P4/mmm (No. 123)
Asymmetric unit:
1 Cs 0.000 0.000 0.000 (multiplicity 1)
2 Hf 0.500 0.500 0.500 (multiplicity 1)
3 P 0.000 0.500 0.000 (multiplicity 2)
4 O 0.000 0.000 0.500 (multiplicity 1)

Results
- ρ: 5.60 g/cm3
- N(E_F): 0.4339 states/eV per atom
- ΔE_f (raw): 131.78 kJ per mole of atoms
- Final energy: -3.9512 eV/atom

=====

Record 18
This record from Alexandria describes a geometry-optimized Y3HoSb3 structure. The functional is PBE-GGA.

a = 9.198 Å, b = 9.198 Å, c = 9.198 Å
α = 90.00°, β = 90.00°, γ = 90.00°
Space group P2_13 (No. 198)
Asymmetric unit:
1 Y 0.071 0.429 0.571 (multiplicity 4)
2 Y 0.178 0.178 0.178 (multiplicity 4)
3 Y 0.178 0.822 0.322 (multiplicity 4)
4 Ho 0.072 0.572 0.928 (multiplicity 4)
5 Sb 0.000 0.251 0.874 (multiplicity 12)

Results
- ρ: 6.80 g/cm3
- Energy above the most stable polymorph in this dataset: 0 meV per atom
- N(E_F): 1.0023 states/eV per atom
- ΔE_f (raw): -97.91 kJ per mole of atoms
- Final energy: -6.2058 eV/atom

=====

Record 19
This record from Alexandria describes a geometry-optimized Nd3PuP4 structure. The functional is PBE-GGA.

a = 5.837 Å, b = 5.837 Å, c = 5.837 Å
α = 90.00°, β = 90.00°, γ = 90.00°
Space group Pm-3m (No. 221)
Asymmetric unit:
1 Nd 0.000 0.000 0.500 (multiplicity 3)
2 Pu 0.500 0.500 0.500 (multiplicity 1)
3 P 0.000 0.000 0.000 (multiplicity 1)
4 P 0.000 0.500 0.500 (multiplicity 3)

Results
- ρ: 6.69 g/cm3
- Energy above the most stable polymorph in this dataset: 12 meV per atom
- N(E_F): 2.0754 states/eV per atom
- Final energy: -7.6980 eV/atom
- E_form: -1.414 eV/atom

=====

Record 20
This record from Alexandria describes a geometry-optimized LiAu2Cl structure. The functional is PBE-GGA.

a = 3.733 Å, b = 3.733 Å, c = 6.702 Å
α = 90.00°, β = 90.00°, γ = 90.00°
Space group P4/mmm (No. 123)
Asymmetric unit:
1 Li 0.000 0.000 0.000 (multiplicity 1)
2 Au 0.000 0.500 0.500 (multiplicity 2)
3 Cl 0.500 0.500 0.000 (multiplicity 1)

Results
- ρ: 7.76 g/cm3
- Energy above the most stable polymorph in this dataset: 45 meV per atom
- N(E_F): 0.1708 states/eV per atom
- ΔE_f (raw): -50.98 kJ per mole of atoms
- Final energy: -3.1072 eV/atom